1.
{
  "formula": "CrReOs2",
  "functional": "PBE",
  "state": "relaxed",
  "cell": [[-1.1891, -0.3003, 2.4205], [-2.4288, -2.5125, -1.5049], [3.4312, -4.0273, 1.1860]],
  "species": ["Os", "Cr", "Os", "Re"],
  "fractional_positions": [[0.0000, 0.0000, 0.9897], [0.5000, 0.5000, 0.7500], [0.0000, 0.0000, 0.5103], [0.5000, 0.5000, 0.2500]],
  "magmom_total_mub_per_atom": 0.0707,
  "e_above_lowest_polymorph_ev_per_atom": 0.008
}

***

2.
{
  "formula": "PaBeS3",
  "functional": "PBE",
  "state": "relaxed",
  "cell": [[-3.0086, -5.2372, -1.9696], [5.2001, -1.2916, -4.5089], [4.2633, -4.5859, 6.2304]],
  "species": ["S", "S", "S", "S", "S", "Pa", "Be", "S", "S", "Pa", "Pa", "S", "Be", "Pa", "Be", "S", "S", "S", "Be", "S"],
  "fractional_positions": [[0.3513, 0.1877, 0.9373], [0.1612, 0.9636, 0.2371], [0.3388, 0.4636, 0.2629], [0.6612, 0.5364, 0.7371], [0.6597, 0.8202, 0.4381], [0.5536, 0.1282, 0.2433], [0.3841, 0.6636, 0.1014], [0.8402, 0.3202, 0.0619], [0.8388, 0.0364, 0.7629], [0.4464, 0.8718, 0.7567], [0.9464, 0.6282, 0.2567], [0.6487, 0.8123, 0.0627], [0.6159, 0.3364, 0.8986], [0.0536, 0.3718, 0.7433], [0.8841, 0.8364, 0.6014], [0.3402, 0.1798, 0.5619], [0.8513, 0.3123, 0.4373], [0.1598, 0.6798, 0.9381], [0.1159, 0.1636, 0.3986], [0.1487, 0.6877, 0.5627]],
  "magmom_total_mub_per_atom": 0.2037,
  "final_energy_ev_per_atom": -6.351
}

***

3.
{
  "formula": "KBaSe3",
  "functional": "PBE",
  "state": "relaxed",
  "cell": [[5.7162, 0.0000, 0.0000], [0.0000, 5.7162, 0.0000], [0.0000, 0.0000, 5.7162]],
  "species": ["Se", "Se", "Ba", "Se", "K"],
  "fractional_positions": [[0.0000, 0.5000, 0.0000], [0.0000, 0.0000, 0.5000], [0.5000, 0.5000, 0.5000], [0.5000, 0.0000, 0.0000], [0.0000, 0.0000, 0.0000]],
  "magmom_total_mub_per_atom": 0.5895,
  "e_above_lowest_polymorph_ev_per_atom": 0.156
}

***

Number 2 is which compound?
PaBeS3

***

Which formula does entry 2 have?
PaBeS3